1.
Below is Sc2TaO after structural relaxation, with properties calculated at the PBE level.

Structure (POSCAR):
```
Sc2TaO
1.0
1.7715 0.0000 8.1722
-0.8857 1.5341 8.1722
-0.8857 -1.5341 8.1722
Sc O Ta
2 1 1
direct
0.8863 0.8863 0.8863
0.1137 0.1137 0.1137
0.5000 0.5000 0.5000
0.0000 0.0000 0.0000
```

Summary:
Its magnetization is 0.74 μB/f.u. The value obtained for the raw total energy is -8.46 eV/atom. The formation energy (no corrections) comes out at -105.37 kJ per mole of atoms. Its space-group type is R-3m (166).

***

2.
Below is NdCu2Cl8 after structural relaxation, with properties calculated at the PBE level.

Structure (POSCAR):
```
NdCu2Cl8
1.0
6.7746 0.0000 0.0000
0.0000 6.7746 0.0000
-3.3873 -3.3873 5.9747
Nd Cu Cl
1 2 8
direct
0.5000 0.5000 0.0000
0.7500 0.2500 0.5000
0.2500 0.7500 0.5000
0.7862 0.2914 0.2393
0.0521 0.5469 0.7607
0.7086 0.2138 0.7607
0.2138 0.0521 0.7607
0.4531 0.9479 0.2393
0.9479 0.7862 0.2393
0.2914 0.4531 0.2393
0.5469 0.7086 0.7607
```

Summary:
Its magnetization is 0.34 μB/f.u. The value obtained for the raw total energy is -3.54 eV/atom. The formation energy (no corrections) comes out at -98.31 kJ per mole of atoms. Its space-group type is I422 (97).

***

3.
Below is TlCd2BiIr after structural relaxation, with properties calculated at the PBE level.

Structure (POSCAR):
```
TlCd2BiIr
1.0
-1.0704 -3.3158 -4.0122
-3.8391 -2.2630 2.8944
-3.4278 3.3956 -1.8918
Tl Ir Bi Cd
1 1 1 2
direct
0.5000 0.5000 0.5000
0.0000 0.0000 0.0000
0.0000 0.0000 0.5000
0.0000 0.5000 0.0000
0.5000 0.0000 0.0000
```

Summary:
Its magnetization is 0.00 μB/f.u. The value obtained for the raw total energy is -3.22 eV/atom. Its energy of formation from the pure elements is 0.166 eV/atom. Its space-group type is P4/mmm (123).

***

Repeat the second record exactly.
Below is NdCu2Cl8 after structural relaxation, with properties calculated at the PBE level.

Structure (POSCAR):
```
NdCu2Cl8
1.0
6.7746 0.0000 0.0000
0.0000 6.7746 0.0000
-3.3873 -3.3873 5.9747
Nd Cu Cl
1 2 8
direct
0.5000 0.5000 0.0000
0.7500 0.2500 0.5000
0.2500 0.7500 0.5000
0.7862 0.2914 0.2393
0.0521 0.5469 0.7607
0.7086 0.2138 0.7607
0.2138 0.0521 0.7607
0.4531 0.9479 0.2393
0.9479 0.7862 0.2393
0.2914 0.4531 0.2393
0.5469 0.7086 0.7607
```

Summary:
Its magnetization is 0.34 μB/f.u. The value obtained for the raw total energy is -3.54 eV/atom. The formation energy (no corrections) comes out at -98.31 kJ per mole of atoms. Its space-group type is I422 (97).